(1)
Computed, not measured: crystalline Pr2Sc2In3 at its relaxed geometry at the PBE-GGA level of DFT.

Computed properties:
- Symmetry: Cmmm (65)
- Energy of formation: -332 meV per atom
- Mass density: 6397 kg/m³

a = 4.668 Å, b = 24.223 Å, c = 3.288 Å
α = 90.00°, β = 90.00°, γ = 90.00°
Sites, in units of the cell vectors:
Pr  0.000  0.077  0.000
Pr  0.000  0.923  0.000
Pr  0.500  0.423  0.000
Pr  0.500  0.577  0.000
Sc  0.000  0.211  0.000
Sc  0.000  0.789  0.000
Sc  0.500  0.289  0.000
Sc  0.500  0.711  0.000
In  0.000  0.336  0.500
In  0.000  0.500  0.500
In  0.000  0.664  0.500
In  0.500  0.000  0.500
In  0.500  0.164  0.500
In  0.500  0.836  0.500

***

(2)
Computed, not measured: crystalline Cs2RbCo2 at its relaxed geometry at the PBE-GGA level of DFT.

Computed properties:
- Symmetry: I4/mmm (139)
- Energy of formation: 757 meV per atom
- Mass density: 3875 kg/m³
- E above lowest polymorph: 0.000 eV/atom

a = 3.624 Å, b = 3.624 Å, c = 30.621 Å
α = 90.00°, β = 90.00°, γ = 90.00°
Sites, in units of the cell vectors:
Cs  0.000  0.000  0.155
Cs  0.000  0.000  0.845
Cs  0.500  0.500  0.345
Cs  0.500  0.500  0.655
Rb  0.000  0.000  0.500
Rb  0.500  0.500  0.000
Co  0.000  0.500  0.250
Co  0.000  0.500  0.750
Co  0.500  0.000  0.250
Co  0.500  0.000  0.750

***

(3)
Computed, not measured: crystalline AcCuPN at its relaxed geometry at the PBE-GGA level of DFT.

Computed properties:
- Symmetry: Pm (6)
- Mass density: 7730 kg/m³
- Uncorrected formation energy: -706 meV/atom

a = 4.008 Å, b = 3.981 Å, c = 4.866 Å
α = 90.00°, β = 111.84°, γ = 90.00°
Sites, in units of the cell vectors:
Ac  0.000  0.000  0.000
Cu  0.261  0.500  0.585
P  0.668  0.500  0.374
N  0.564  0.500  0.998

***

(4)
Computed, not measured: crystalline Pa3ZnSn3Os2 at its relaxed geometry at the PBE-GGA level of DFT.

Computed properties:
- Symmetry: P-62m (189)
- Energy of formation: -308 meV per atom
- Mass density: 12733 kg/m³

a = 7.643 Å, b = 7.643 Å, c = 3.854 Å
α = 90.00°, β = 90.00°, γ = 120.00°
Sites, in units of the cell vectors:
Pa  0.000  0.403  0.000
Pa  0.403  0.000  0.000
Pa  0.597  0.597  0.000
Zn  0.000  0.000  0.000
Sn  0.000  0.737  0.500
Sn  0.263  0.263  0.500
Sn  0.737  0.000  0.500
Os  0.333  0.667  0.500
Os  0.667  0.333  0.500

***

(5)
Computed, not measured: crystalline TmSnSe at its relaxed geometry at the PBE-GGA level of DFT.

Computed properties:
- Symmetry: Amm2 (38)
- Mass density: 6882 kg/m³
- Uncorrected formation energy: -873 meV/atom

a = 13.910 Å, b = 3.832 Å, c = 6.638 Å
α = 90.00°, β = 90.00°, γ = 90.00°
Sites, in units of the cell vectors:
Tm  0.171  0.000  0.000
Tm  0.171  0.500  0.500
Tm  0.829  0.000  0.000
Tm  0.829  0.500  0.500
Sn  0.000  0.000  0.666
Sn  0.000  0.500  0.166
Sn  0.500  0.000  0.668
Sn  0.500  0.500  0.168
Se  0.287  0.000  0.667
Se  0.287  0.500  0.167
Se  0.713  0.000  0.667
Se  0.713  0.500  0.167

***

(6)
Computed, not measured: crystalline RbSnPO6 at its relaxed geometry at the PBE-GGA level of DFT.

Computed properties:
- Symmetry: P312 (149)
- Mass density: 3813 kg/m³
- Uncorrected formation energy: -1410 meV/atom

a = 5.120 Å, b = 5.120 Å, c = 6.351 Å
α = 90.00°, β = 90.00°, γ = 120.00°
Sites, in units of the cell vectors:
Rb  0.000  0.000  0.000
Sn  0.333  0.667  0.500
P  0.667  0.333  0.500
O  0.405  0.056  0.658
O  0.405  0.349  0.342
O  0.651  0.056  0.342
O  0.651  0.595  0.658
O  0.944  0.349  0.658
O  0.944  0.595  0.342

***

(7)
Computed, not measured: crystalline Zr2TaCoH at its relaxed geometry at the PBE-GGA level of DFT.

Computed properties:
- Symmetry: P4/mmm (123)
- Mass density: 9380 kg/m³

a = 4.656 Å, b = 4.656 Å, c = 3.457 Å
α = 90.00°, β = 90.00°, γ = 90.00°
Sites, in units of the cell vectors:
Zr  0.000  0.500  0.000
Zr  0.500  0.000  0.000
Ta  0.000  0.000  0.500
Co  0.500  0.500  0.500
H  0.500  0.500  0.000

***

(8)
Computed, not measured: crystalline Sr4Ag2Rh at its relaxed geometry at the PBE-GGA level of DFT.

Computed properties:
- Symmetry: C2/m (12)
- Energy of formation: -237 meV per atom
- Mass density: 4664 kg/m³
- E above lowest polymorph: 0.000 eV/atom

a = 15.945 Å, b = 4.676 Å, c = 6.569 Å
α = 90.00°, β = 103.37°, γ = 90.00°
Sites, in units of the cell vectors:
Sr  0.080  0.000  0.267
Sr  0.150  0.500  0.814
Sr  0.350  0.000  0.186
Sr  0.420  0.500  0.733
Sr  0.580  0.500  0.267
Sr  0.650  0.000  0.814
Sr  0.850  0.500  0.186
Sr  0.920  0.000  0.733
Ag  0.233  0.500  0.361
Ag  0.267  0.000  0.639
Ag  0.733  0.000  0.361
Ag  0.767  0.500  0.639
Rh  0.000  0.500  0.000
Rh  0.500  0.000  0.000

***

| no. | calculated total energy (eV/atom) |
| --- | --- |
| 1 | -4.680 |
| 2 | -2.621 |
| 3 | -6.191 |
| 4 | -7.444 |
| 5 | -4.860 |
| 6 | -5.869 |
| 7 | -7.967 |
| 8 | -3.062 |